Record 1
Entry from Alexandria via LeMat-Bulk: a relaxed structure of LiZnBiPt (GGA-PBE).

Calculated values
Energy of formation from the pure elements (eV/atom): -0.30
ρ (Mg/m³): 10.9
SG: F-43m (216)
E_tot (eV per atom): -3.5760

a b c (Å): 4.6838 4.6838 4.6838
angles (deg): 60.00 60.00 60.00
Fractional positions:
Zn 0.7500 0.7500 0.7500
Pt 0.5000 0.5000 0.5000
Bi 0.2500 0.2500 0.2500
Li 0.0000 0.0000 0.0000

Record 2
Entry from Alexandria via LeMat-Bulk: a relaxed structure of CaTcRu2 (GGA-PBE).

Calculated values
Energy of formation from the pure elements (eV/atom): 0.47
ρ (Mg/m³): 8.8
Offset from the most stable computed form (eV per formula unit): 0.73
SG: P4/mmm (123)
E_tot (eV per atom): -7.2609

a b c (Å): 3.0386 4.6093 4.6093
angles (deg): 90.00 90.00 90.00
Fractional positions:
Tc 0.5000 0.5000 0.0000
Ru 0.0000 0.5000 0.5000
Ca 0.5000 0.0000 0.5000
Ru 0.0000 0.0000 0.0000

Record 3
Entry from Alexandria via LeMat-Bulk: a relaxed structure of Tl2SbS5 (GGA-PBE).

Calculated values
ρ (Mg/m³): 4.9
SG: P1 (1)
Formation energy (no corrections) (eV per formula unit): -1.26
E_tot (eV per atom): -3.8437

a b c (Å): 5.0054 8.7727 6.8201
angles (deg): 118.01 83.79 115.89
Fractional positions:
Tl 0.3918 0.6838 0.3331
Tl 0.7278 0.2284 0.6084
Sb 0.9296 0.9742 0.9690
S 0.0738 0.9585 0.6171
S 0.0398 0.6966 0.9461
S 0.3805 0.6619 0.7691
S 0.8056 0.2881 0.0845
S 0.4281 0.2855 0.2267

Record 4
Entry from Alexandria via LeMat-Bulk: a relaxed structure of Tb2SmDyTe6 (GGA-PBE).

Calculated values
ρ (Mg/m³): 6.3
SG: R3 (146)
Formation energy (no corrections) (eV per formula unit): -13.69
E_tot (eV per atom): -5.1123

a b c (Å): 7.7510 7.7511 8.3638
angles (deg): 62.40 62.40 60.00
Fractional positions:
Te 0.2323 0.9166 0.2492
Te 0.9166 0.6020 0.2491
Te 0.7290 0.1090 0.7522
Sm 0.8216 0.8216 0.5353
Dy 0.3229 0.3229 0.0313
Te 0.6020 0.2323 0.2491
Te 0.4099 0.7290 0.7522
Te 0.1090 0.4098 0.7521
Tb 0.5097 0.5097 0.4709
Tb 0.0087 0.0087 0.9739

Record 5
Entry from Alexandria via LeMat-Bulk: a relaxed structure of HgH2W (GGA-PBE).

Calculated values
ρ (Mg/m³): 14.3
Offset from the most stable computed form (eV per formula unit): 3.24
SG: Fm-3m (225)
E_tot (eV per atom): -3.6525

a b c (Å): 3.9904 3.9904 3.9904
angles (deg): 60.00 60.00 60.00
Last column: magnetic moment on the atom in μB.
Fractional positions:
H 0.2500 0.2500 0.2500  -0.02
Hg 0.5000 0.5000 0.5000  0.02
W 0.0000 0.0000 0.0000  1.56
H 0.7500 0.7500 0.7500  -0.02

Record 6
Entry from Alexandria via LeMat-Bulk: a relaxed structure of Zr2Sc3Hg3 (GGA-PBE).

Calculated values
Energy of formation from the pure elements (eV/atom): -0.27
ρ (Mg/m³): 8.6
SG: Immm (71)
E_tot (eV per atom): -4.8988

a b c (Å): 3.5918 4.8408 10.6348
angles (deg): 103.16 99.72 90.00
Fractional positions:
Sc 0.3764 0.3764 0.7527
Sc 0.6236 0.6236 0.2473
Hg 0.0000 0.5000 0.0000
Hg 0.8751 0.8751 0.7501
Hg 0.1249 0.1249 0.2499
Zr 0.2547 0.7547 0.5094
Sc 0.5000 0.0000 0.0000
Zr 0.7453 0.2453 0.4906

- What is the E_tot in the fourth record?
  -5.1123 eV per atom